No. 1
ErLuIn | PBE | optimized geometry

Summary:
The space group is P6_3/mmc, No. 194. The calculated total energy comes out at -4.2817 eV/atom. The distance to the lowest polymorph of the same formula comes out at 2.3 meV per atom.

a = 5.3073 Å, b = 5.3073 Å, c = 6.6350 Å
α = 90.00°, β = 90.00°, γ = 120.00°
Atoms (fractional coordinates):
Er (0.6667, 0.3333, 0.2500)
Er (0.3333, 0.6667, 0.7500)
In (0.3333, 0.6667, 0.2500)
In (0.6667, 0.3333, 0.7500)
Lu (0.0000, 0.0000, 0.0000)
Lu (0.0000, 0.0000, 0.5000)

***

No. 2
Sr2GaFe | PBE | optimized geometry

Summary:
The space group is F-43m, No. 216. The calculated total energy comes out at -3.2931 eV/atom.

a = 5.1077 Å, b = 5.1077 Å, c = 5.1077 Å
α = 60.00°, β = 60.00°, γ = 60.00°
Atoms (fractional coordinates):
Fe (0.2500, 0.2500, 0.2500)
Ga (0.5000, 0.5000, 0.5000)
Sr (0.0000, 0.0000, 0.0000)
Sr (0.7500, 0.7500, 0.7500)

***

No. 3
AlGeOs | PBE | optimized geometry

Summary:
The space group is F-43m, No. 216. The calculated total energy comes out at -6.1991 eV/atom. The distance to the lowest polymorph of the same formula comes out at 356.7 meV per atom.

a = 4.1299 Å, b = 4.1299 Å, c = 4.1299 Å
α = 60.00°, β = 60.00°, γ = 60.00°
Atoms (fractional coordinates):
Al (0.2500, 0.2500, 0.2500)
Ge (0.0000, 0.0000, 0.0000)
Os (0.7500, 0.7500, 0.7500)

***

No. 4
ScSnPt | PBE | optimized geometry

Summary:
The space group is F-43m, No. 216. The calculated total energy comes out at -6.4786 eV/atom.

a = 4.5321 Å, b = 4.5321 Å, c = 4.5321 Å
α = 60.00°, β = 60.00°, γ = 60.00°
Atoms (fractional coordinates):
Pt (0.0000, 0.0000, 0.0000)
Sc (0.7500, 0.7500, 0.7500)
Sn (0.2500, 0.2500, 0.2500)

***

No. 5
Y5Ho3Te | PBE | optimized geometry

Summary:
The space group is P-62m, No. 189. The calculated total energy comes out at -5.7554 eV/atom. The distance to the lowest polymorph of the same formula comes out at 0.0 meV per atom.

a = 9.2362 Å, b = 9.2362 Å, c = 3.7802 Å
α = 90.00°, β = 90.00°, γ = 120.00°
Atoms (fractional coordinates):
Ho (0.6166, 0.0000, 0.0000)
Ho (0.3834, 0.3834, 0.0000)
Ho (0.0000, 0.6166, 0.0000)
Te (0.0000, 0.0000, 0.0000)
Y (0.2741, 0.0000, 0.5000)
Y (0.0000, 0.2741, 0.5000)
Y (0.6667, 0.3333, 0.5000)
Y (0.3333, 0.6667, 0.5000)
Y (0.7259, 0.7259, 0.5000)

***

No. 6
ErUNb | PBE | optimized geometry

Summary:
The space group is F-43m, No. 216. The calculated total energy comes out at -7.6995 eV/atom. The distance to the lowest polymorph of the same formula comes out at 0.0 meV per atom. The formation energy comes out at 91.83 kJ per mole of atoms.

a = 4.8049 Å, b = 4.8049 Å, c = 4.8049 Å
α = 60.00°, β = 60.00°, γ = 60.00°
Atoms (fractional coordinates):
Er (0.5000, 0.5000, 0.5000)
Nb (0.2500, 0.2500, 0.2500)
U (0.0000, 0.0000, 0.0000)

***

No. 7
ZrPt | PBE | optimized geometry

Summary:
The space group is Pmc2_1, No. 26. The calculated total energy comes out at -8.1142 eV/atom. The formation energy comes out at -78.42 kJ per mole of atoms.

a = 5.1384 Å, b = 9.2916 Å, c = 4.6854 Å
α = 90.00°, β = 90.00°, γ = 90.00°
Atoms (fractional coordinates):
Pt (0.4920, 0.1835, 0.0000)
Pt (0.9920, 0.6498, 0.0000)
Pt (0.8536, 0.1703, 0.5000)
Pt (0.3527, 0.3466, 0.5000)
Pt (0.8527, 0.4867, 0.5000)
Pt (0.3536, 0.6630, 0.5000)
Zr (0.9102, 0.0052, 0.0000)
Zr (0.0239, 0.3272, 0.0000)
Zr (0.5239, 0.5062, 0.0000)
Zr (0.4102, 0.8281, 0.0000)
Zr (0.3676, 0.0387, 0.5000)
Zr (0.8676, 0.7947, 0.5000)

***

No. 8
DyEr2S3 | PBE | optimized geometry

Summary:
The space group is P-3m1, No. 164. The calculated total energy comes out at -6.3192 eV/atom.

a = 3.8690 Å, b = 3.8690 Å, c = 9.4945 Å
α = 90.00°, β = 90.00°, γ = 120.00°
Atoms (fractional coordinates):
Dy (0.0000, 0.0000, 0.0000)
Er (0.6667, 0.3333, 0.3334)
Er (0.3333, 0.6667, 0.6666)
S (0.3333, 0.6667, 0.1697)
S (0.0000, 0.0000, 0.5000)
S (0.6667, 0.3333, 0.8303)